[1]
Crystalline Sc3I7Br at its relaxed geometry, computed with PBE.

Lattice parameters (Å, degrees): 7.383 8.248 8.248 120.00 90.00 90.00
Each line ends with the local moment (μB).
Element x y z (fractional)
Sc (0.780, 0.498, 0.996)  0.27
Sc (0.780, 0.004, 0.502)  0.27
Sc (0.780, 0.498, 0.502)  0.27
I (0.009, 0.662, 0.831)  -0.01
I (0.553, 0.338, 0.169)  -0.01
I (0.017, 0.667, 0.333)  -0.01
I (0.553, 0.831, 0.169)  -0.01
I (0.553, 0.831, 0.662)  -0.01
I (0.009, 0.169, 0.831)  -0.01
I (0.009, 0.169, 0.338)  -0.01
Br (0.575, 0.333, 0.667)  0.00

The raw total energy comes out at -45.28 eV for the cell shown. Its formation energy from raw total energies is -1.251 eV/atom. Its volume is 435 Å³ per cell.

***

[2]
Crystalline InSnIr2 at its relaxed geometry, computed with PBE.

Lattice parameters (Å, degrees): 5.967 5.967 7.399 66.22 66.22 90.00
Element x y z (fractional)
Sn (0.000, 0.000, 0.000)
Sn (0.750, 0.250, 0.500)
Ir (0.118, 0.625, 0.250)
Ir (0.632, 0.125, 0.250)
Ir (0.875, 0.882, 0.750)
Ir (0.375, 0.368, 0.750)
In (0.250, 0.750, 0.500)
In (0.500, 0.500, 0.000)

The raw total energy comes out at -43.32 eV for the cell shown. The formation energy comes out at 16.15 kcal/mol of atoms. Its volume is 216 Å³ per cell.

***

[3]
Crystalline Mg4RhAu2 at its relaxed geometry, computed with PBE.

Lattice parameters (Å, degrees): 4.871 4.871 7.480 71.00 71.00 90.00
Element x y z (fractional)
Rh (0.000, 0.000, 0.000)
Mg (0.190, 0.190, 0.620)
Mg (0.810, 0.810, 0.380)
Mg (0.500, 0.000, 0.000)
Mg (0.000, 0.500, 0.000)
Au (0.613, 0.613, 0.775)
Au (0.387, 0.387, 0.225)

The raw total energy comes out at -21.52 eV for the cell shown. The calculation puts the energy above the most stable polymorph in this dataset at 0.361 eV per atom. The formation energy comes out at -4.06 kcal/mol of atoms. Its volume is 158 Å³ per cell.

***

[4]
Crystalline SmY2Ho5Er at its relaxed geometry, computed with PBE.

Lattice parameters (Å, degrees): 5.599 10.232 10.565 90.00 90.00 105.88
Element x y z (fractional)
Ho (0.389, 0.778, 0.022)
Ho (0.283, 0.565, 0.311)
Ho (0.521, 0.041, 0.238)
Ho (0.299, 0.597, 0.708)
Ho (0.701, 0.403, 0.208)
Ho (0.981, 0.961, 0.525)
Ho (0.611, 0.222, 0.522)
Ho (0.479, 0.959, 0.738)
Ho (0.717, 0.435, 0.811)
Ho (0.019, 0.039, 0.025)
Y (0.113, 0.227, 0.319)
Y (0.110, 0.221, 0.735)
Y (0.887, 0.773, 0.819)
Y (0.890, 0.779, 0.235)
Er (0.799, 0.598, 0.511)
Er (0.201, 0.402, 0.011)
Sm (0.584, 0.169, 0.956)
Sm (0.416, 0.831, 0.456)

The raw total energy comes out at -87.39 eV for the cell shown. The formation energy comes out at 3.60 kcal/mol of atoms. Its volume is 582 Å³ per cell.

***

[5]
Crystalline ScMnP at its relaxed geometry, computed with PBE.

Lattice parameters (Å, degrees): 3.874 3.874 3.595 90.00 90.00 120.00
Each line ends with the local moment (μB).
Element x y z (fractional)
Sc (0.333, 0.667, 0.500)  -0.05
Mn (0.000, 0.000, 0.000)  1.80
P (0.667, 0.333, 0.000)  -0.02

The raw total energy comes out at -23.05 eV for the cell shown. The formation energy comes out at -16.43 kcal/mol of atoms. Its volume is 47 Å³ per cell.

***

[6]
Crystalline Re4TeCl at its relaxed geometry, computed with PBE.

Lattice parameters (Å, degrees): 5.355 5.355 5.355 60.00 60.00 60.00
Element x y z (fractional)
Cl (0.000, 0.000, 0.000)
Re (0.375, 0.875, 0.375)
Re (0.875, 0.375, 0.375)
Re (0.375, 0.375, 0.375)
Re (0.375, 0.375, 0.875)
Te (0.750, 0.750, 0.750)

The raw total energy comes out at -46.99 eV for the cell shown. Its formation energy from raw total energies is 1.298 eV/atom. Its volume is 109 Å³ per cell.